[1]
! Mg2ScIr (GGA-PBE, relaxed); values from VASP
! Volume   73.0 Å³ per cell
! Formation enthalpy at 0 K   -0.2125 eV per atom
&SYSTEM
  ibrav = 0, nat = 4, ntyp = 3
/
ATOMIC_SPECIES
Ir 192.22 Ir.upf
Mg 24.30 Mg.upf
Sc 44.96 Sc.upf
ATOMIC_POSITIONS crystal
Ir 0.500 0.500 0.750
Mg 0.000 0.000 0.975
Mg 0.000 0.000 0.525
Sc 0.500 0.500 0.250
CELL_PARAMETERS angstrom
3.034 0.000 0.000
0.000 4.234 0.000
0.000 0.000 5.684


[2]
! MgSc3Ir4 (GGA-PBE, relaxed); values from VASP
! Volume   131.3 Å³ per cell
! Formation enthalpy at 0 K   -0.8796 eV per atom
&SYSTEM
  ibrav = 0, nat = 8, ntyp = 3
/
ATOMIC_SPECIES
Sc 44.96 Sc.upf
Mg 24.30 Mg.upf
Ir 192.22 Ir.upf
ATOMIC_POSITIONS crystal
Sc 0.253 0.253 0.241
Sc 0.747 0.747 0.759
Sc 0.500 0.500 0.500
Mg 0.000 0.000 0.000
Ir 0.875 0.875 0.376
Ir 0.376 0.376 0.872
Ir 0.125 0.125 0.624
Ir 0.624 0.624 0.128
CELL_PARAMETERS angstrom
4.347 0.000 1.283
1.984 3.867 1.283
0.051 0.031 7.831


[3]
! Mg2ScIr (GGA-PBE, relaxed); values from VASP
! Volume   74.0 Å³ per cell
! Formation enthalpy at 0 K   -0.2603 eV per atom
&SYSTEM
  ibrav = 0, nat = 4, ntyp = 3
/
ATOMIC_SPECIES
Ir 192.22 Ir.upf
Mg 24.30 Mg.upf
Sc 44.96 Sc.upf
ATOMIC_POSITIONS crystal
Ir 0.500 0.750 0.750
Mg 0.000 0.930 0.977
Mg 0.000 0.570 0.523
Sc 0.500 0.250 0.250
CELL_PARAMETERS angstrom
-4.153 -0.656 -2.087
1.021 -2.606 -1.212
-1.265 -3.636 3.660


[4]
! Mg2ScIr (GGA-PBE, relaxed); values from VASP
! Volume   77.0 Å³ per cell
! Formation enthalpy at 0 K   -0.0372 eV per atom
&SYSTEM
  ibrav = 0, nat = 4, ntyp = 3
/
ATOMIC_SPECIES
Ir 192.22 Ir.upf
Mg 24.30 Mg.upf
Sc 44.96 Sc.upf
ATOMIC_POSITIONS crystal
Ir 0.750 0.750 0.750
Mg 0.012 0.012 0.012
Mg 0.488 0.488 0.488
Sc 0.250 0.250 0.250
CELL_PARAMETERS angstrom
9.818 0.000 0.000
9.349 2.996 0.000
9.349 1.461 2.616


[5]
! MgSc2Ir (GGA-PBE, relaxed); values from VASP
! Volume   80.0 Å³ per cell
! Formation enthalpy at 0 K   -0.5622 eV per atom
&SYSTEM
  ibrav = 0, nat = 4, ntyp = 3
/
ATOMIC_SPECIES
Sc 44.96 Sc.upf
Mg 24.30 Mg.upf
Ir 192.22 Ir.upf
ATOMIC_POSITIONS crystal
Sc 0.000 0.000 0.039
Sc 0.000 0.000 0.461
Mg 0.500 0.500 0.750
Ir 0.500 0.500 0.250
CELL_PARAMETERS angstrom
-1.142 2.942 -1.135
-3.151 -1.107 0.300
-0.237 2.481 6.668


[6]
! Mg2ScIr (GGA-PBE, relaxed); values from VASP
! Volume   157.4 Å³ per cell
! Formation enthalpy at 0 K   -0.0875 eV per atom
&SYSTEM
  ibrav = 0, nat = 8, ntyp = 3
/
ATOMIC_SPECIES
Sc 44.96 Sc.upf
Mg 24.30 Mg.upf
Ir 192.22 Ir.upf
ATOMIC_POSITIONS crystal
Sc 0.500 0.500 0.000
Sc 0.250 0.750 0.500
Mg 0.646 0.125 0.250
Mg 0.104 0.625 0.250
Mg 0.375 0.354 0.750
Mg 0.875 0.896 0.750
Ir 0.000 0.000 0.000
Ir 0.750 0.250 0.500
CELL_PARAMETERS angstrom
3.930 0.000 0.000
0.000 3.930 0.000
1.965 1.965 10.194


[7]
! MgScIr (GGA-PBE, relaxed); values from VASP
! Volume   57.4 Å³ per cell
! Formation enthalpy at 0 K   -0.2281 eV per atom
&SYSTEM
  ibrav = 0, nat = 3, ntyp = 3
/
ATOMIC_SPECIES
Ir 192.22 Ir.upf
Mg 24.30 Mg.upf
Sc 44.96 Sc.upf
ATOMIC_POSITIONS crystal
Ir 0.000 0.000 0.992
Mg 0.667 0.333 0.302
Sc 0.333 0.667 0.705
CELL_PARAMETERS angstrom
3.113 0.000 0.000
-1.557 2.696 0.000
0.000 0.000 6.835


[8]
! Mg2ScIr2 (GGA-PBE, relaxed); values from VASP
! Volume   92.4 Å³ per cell
! Excess energy over the best structure of this formula in the dataset   267 meV per atom
! Formation enthalpy at 0 K   -0.2790 eV per atom
&SYSTEM
  ibrav = 0, nat = 5, ntyp = 3
/
ATOMIC_SPECIES
Sc 44.96 Sc.upf
Mg 24.30 Mg.upf
Ir 192.22 Ir.upf
ATOMIC_POSITIONS crystal
Sc 0.000 0.000 0.000
Mg 0.750 0.250 0.500
Mg 0.250 0.750 0.500
Ir 0.398 0.398 0.204
Ir 0.602 0.602 0.796
CELL_PARAMETERS angstrom
-3.416 -1.820 0.061
0.519 -1.097 -3.676
1.332 -6.612 0.124


[9]
! Mg2ScIr (GGA-PBE, relaxed); values from VASP
! Volume   76.4 Å³ per cell
! Formation enthalpy at 0 K   -0.1831 eV per atom
&SYSTEM
  ibrav = 0, nat = 4, ntyp = 3
/
ATOMIC_SPECIES
Ir 192.22 Ir.upf
Mg 24.30 Mg.upf
Sc 44.96 Sc.upf
ATOMIC_POSITIONS crystal
Ir 0.500 0.500 0.750
Mg 0.000 0.000 0.946
Mg 0.000 0.000 0.554
Sc 0.500 0.500 0.250
CELL_PARAMETERS angstrom
3.185 0.000 0.000
0.000 3.185 0.000
0.000 0.000 7.531


[10]
! MgScIr (GGA-PBE, relaxed); values from VASP
! Volume   56.0 Å³ per cell
! Formation enthalpy at 0 K   -0.5929 eV per atom
&SYSTEM
  ibrav = 0, nat = 3, ntyp = 3
/
ATOMIC_SPECIES
Ir 192.22 Ir.upf
Mg 24.30 Mg.upf
Sc 44.96 Sc.upf
ATOMIC_POSITIONS crystal
Ir 0.996 0.996 0.004
Mg 0.643 0.643 0.357
Sc 0.361 0.361 0.639
CELL_PARAMETERS angstrom
5.826 -0.033 0.036
4.947 3.078 0.032
0.879 0.252 3.101


[11]
! MgSc2Ir (GGA-PBE, relaxed); values from VASP
! Volume   109.5 Å³ per cell
! Formation enthalpy at 0 K   -0.1105 eV per atom
&SYSTEM
  ibrav = 0, nat = 4, ntyp = 3
/
ATOMIC_SPECIES
Sc 44.96 Sc.upf
Mg 24.30 Mg.upf
Ir 192.22 Ir.upf
ATOMIC_POSITIONS crystal
Sc 0.886 0.886 0.886
Sc 0.114 0.114 0.114
Mg 0.000 0.000 0.000
Ir 0.500 0.500 0.500
CELL_PARAMETERS angstrom
-5.690 0.848 7.840
-7.016 -2.213 6.359
-4.072 -2.355 8.511


[12]
! MgSc4Ir3 (GGA-PBE, relaxed); values from VASP
! Volume   285.0 Å³ per cell
! Formation enthalpy at 0 K   -0.7743 eV per atom
&SYSTEM
  ibrav = 0, nat = 16, ntyp = 3
/
ATOMIC_SPECIES
Sc 44.96 Sc.upf
Mg 24.30 Mg.upf
Ir 192.22 Ir.upf
ATOMIC_POSITIONS crystal
Sc 0.500 0.762 0.000
Sc 0.500 0.762 0.500
Sc 0.500 0.238 0.000
Sc 0.500 0.238 0.500
Sc 0.000 0.762 0.750
Sc 0.000 0.762 0.250
Sc 0.000 0.238 0.250
Sc 0.000 0.238 0.750
Mg 0.000 0.500 0.000
Mg 0.000 0.500 0.500
Ir 0.000 0.000 0.000
Ir 0.000 0.000 0.500
Ir 0.500 0.000 0.750
Ir 0.500 0.000 0.250
Ir 0.500 0.500 0.750
Ir 0.500 0.500 0.250
CELL_PARAMETERS angstrom
-3.896 2.322 0.327
-1.046 -0.803 -6.765
-4.481 -7.747 1.612